Record 1
ReSb3O | PBE | optimized geometry

Structure (CIF):
```
data_ReSb3O
_chemical_formula_sum 'Re1 Sb3 O1'
_symmetry_space_group_name_H-M 'P 1'
_symmetry_Int_Tables_number 1
_cell_length_a 4.608
_cell_length_b 4.608
_cell_length_c 4.608
_cell_angle_alpha 90.00
_cell_angle_beta 90.00
_cell_angle_gamma 90.00
loop_
_symmetry_equiv_pos_as_xyz
'x,y,z'
loop_
_atom_site_label
_atom_site_fract_x
_atom_site_fract_y
_atom_site_fract_z
Re1 0.000 0.000 0.000
Sb1 0.000 0.500 0.500
Sb2 0.500 0.000 0.500
Sb3 0.500 0.500 0.000
O1 0.500 0.500 0.500
```

Calculated values
- E above lowest polymorph: 0 meV per atom
- Calculated total energy: -26.92 eV for the cell shown
- Raw formation energy: 570 meV/atom

=====

Record 2
AcNdLuIn | PBE | optimized geometry

Structure (CIF):
```
data_AcNdLuIn
_chemical_formula_sum 'Ac1 Nd1 Lu1 In1'
_symmetry_space_group_name_H-M 'P 1'
_symmetry_Int_Tables_number 1
_cell_length_a 5.630
_cell_length_b 5.630
_cell_length_c 5.630
_cell_angle_alpha 60.00
_cell_angle_beta 60.00
_cell_angle_gamma 60.00
loop_
_symmetry_equiv_pos_as_xyz
'x,y,z'
loop_
_atom_site_label
_atom_site_fract_x
_atom_site_fract_y
_atom_site_fract_z
Ac1 0.000 0.000 0.000
Nd1 0.250 0.250 0.250
Lu1 0.750 0.750 0.750
In1 0.500 0.500 0.500
```

Calculated values
- Calculated total energy: -16.25 eV for the cell shown
- Energy of formation: -28 meV/atom